(1)
First-principles (PBE) data for a relaxed structure of Zn2Ga2Si3, as listed in the Open Quantum Materials Database.

The calculation puts the mass density at 4.8 g/cm³. As for the total DFT energy (no corrections): -0.1180 Ha/atom.

The structure belongs to space group R3m (No. 160, hexagonal axes); the cell edges are 4.4851, 4.4851 and 20.9861 Å and the angles 90.00°, 90.00° and 120.00°. The distinct sites, in fractional coordinates, are Zn at (0.0000, 0.0000, 0.0000), Zn at (0.0000, 0.0000, 0.4844), Ga at (0.0000, 0.0000, 0.2296), Ga at (0.0000, 0.0000, 0.7457), Si at (0.0000, 0.0000, 0.3628), Si at (0.0000, 0.0000, 0.6128) and Si at (0.0000, 0.0000, 0.8710).



(2)
First-principles (PBE) data for a relaxed structure of ZnGa2Si2, as listed in the Open Quantum Materials Database.

The calculation puts the mass density at 4.6 g/cm³. As for the total DFT energy (no corrections): -0.1244 Ha/atom.

The structure belongs to space group I4/mmm (No. 139); the cell edges are 4.394, 4.394 and 9.800 Å and the angles 90.00°, 90.00° and 90.00°. The distinct sites, in fractional coordinates, are Zn at (0.000, 0.000, 0.000), Ga at (0.000, 0.500, 0.250) and Si at (0.000, 0.000, 0.382).



(3)
First-principles (PBE) data for a relaxed structure of ZnGaSi, as listed in the Open Quantum Materials Database.

The calculation puts the mass density at 4.9 g/cm³. As for the total DFT energy (no corrections): -0.1131 Ha/atom.

The structure belongs to space group F-43m (No. 216); the cell edges are 6.038, 6.038 and 6.038 Å and the angles 90.00°, 90.00° and 90.00°. The distinct sites, in fractional coordinates, are Zn at (0.000, 0.000, 0.000), Ga at (0.000, 0.000, 0.500) and Si at (0.250, 0.250, 0.750).



(4)
First-principles (PBE) data for a relaxed structure of ZrGaSi, as listed in the Open Quantum Materials Database.

The calculation puts the mass density at 4.9 g/cm³. The size of the total moment comes out at 0.000 μB/f.u. As for the total DFT energy (no corrections): -0.2050 Ha/atom.

The structure belongs to space group F-43m (No. 216); the cell edges are 6.352, 6.352 and 6.352 Å and the angles 90.00°, 90.00° and 90.00°. The distinct sites, in fractional coordinates, are Zr at (0.000, 0.000, 0.000), Ga at (0.250, 0.250, 0.750) and Si at (0.250, 0.250, 0.250).



(5)
First-principles (PBE) data for a relaxed structure of ZrGaSi, as listed in the Open Quantum Materials Database.

The calculation puts the mass density at 5.3 g/cm³. The size of the total moment comes out at 0.460 μB/f.u. As for the total DFT energy (no corrections): -0.2087 Ha/atom.

The structure belongs to space group F-43m (No. 216); the cell edges are 6.182, 6.182 and 6.182 Å and the angles 90.00°, 90.00° and 90.00°. The distinct sites, in fractional coordinates, are Zr at (0.000, 0.000, 0.000), Ga at (0.000, 0.000, 0.500) and Si at (0.250, 0.250, 0.750).



(6)
First-principles (PBE) data for a relaxed structure of SmGa2, as listed in the Open Quantum Materials Database.

The calculation puts the mass density at 6.1 g/cm³. The size of the total moment comes out at 0.021 μB/f.u. As for the total DFT energy (no corrections): -0.1353 Ha/atom.

The structure belongs to space group Fm-3m (No. 225); the cell edges are 6.792, 6.792 and 6.792 Å and the angles 90.00°, 90.00° and 90.00°. The distinct sites, in fractional coordinates, are Sm at (0.000, 0.000, 0.000) and Ga at (0.250, 0.250, 0.250).



(7)
First-principles (PBE) data for a relaxed structure of SmGa2, as listed in the Open Quantum Materials Database.

The calculation puts the mass density at 7.8 g/cm³. The size of the total moment comes out at 0.002 μB/f.u. As for the total DFT energy (no corrections): -0.1532 Ha/atom.

The structure belongs to space group Fd-3m (No. 227, origin choice 2); the cell edges are 7.887, 7.887 and 7.887 Å and the angles 90.00°, 90.00° and 90.00°. The distinct sites, in fractional coordinates, are Sm at (0.125, 0.125, 0.125) and Ga at (0.000, 0.000, 0.500).



(8)
First-principles (PBE) data for a relaxed structure of Sm2Ga, as listed in the Open Quantum Materials Database.

The calculation puts the mass density at 7.1 g/cm³. The size of the total moment comes out at 0.022 μB/f.u. As for the total DFT energy (no corrections): -0.1417 Ha/atom.

The structure belongs to space group Fd-3m (No. 227, origin choice 2); the cell edges are 8.858, 8.858 and 8.858 Å and the angles 90.00°, 90.00° and 90.00°. The distinct sites, in fractional coordinates, are Sm at (0.000, 0.000, 0.000) and Ga at (0.125, 0.125, 0.625).



(9)
First-principles (PBE) data for a relaxed structure of Sm2Ga, as listed in the Open Quantum Materials Database.

The calculation puts the mass density at 6.8 g/cm³. The size of the total moment comes out at 0.589 μB/f.u. As for the total DFT energy (no corrections): -0.1614 Ha/atom.

The structure belongs to space group Fm-3m (No. 225); the cell edges are 7.124, 7.124 and 7.124 Å and the angles 90.00°, 90.00° and 90.00°. The distinct sites, in fractional coordinates, are Sm at (0.250, 0.250, 0.250) and Ga at (0.000, 0.000, 0.000).



(10)
First-principles (PBE) data for a relaxed structure of SmGa2, as listed in the Open Quantum Materials Database.

The calculation puts the mass density at 7.7 g/cm³. The size of the total moment comes out at 0.004 μB/f.u. As for the total DFT energy (no corrections): -0.1530 Ha/atom.

The structure belongs to space group P6_3/mmc (No. 194); the cell edges are 5.5331, 5.5331 and 9.3820 Å and the angles 90.00°, 90.00° and 120.00°. The distinct sites, in fractional coordinates, are Sm at (0.3333, 0.6667, 0.0684), Ga at (0.0000, 0.0000, 0.0000) and Ga at (0.1711, 0.3423, 0.7500).



(11)
First-principles (PBE) data for a relaxed structure of Sm5Ga3, as listed in the Open Quantum Materials Database.

The calculation puts the mass density at 7.3 g/cm³. The size of the total moment comes out at 0.005 μB/f.u. The value obtained for the energy above the lowest structure with this stoichiometry is 10.8 meV per atom.

The structure belongs to space group I4/mcm (No. 140); the cell edges are 7.752, 7.752 and 14.511 Å and the angles 90.00°, 90.00° and 90.00°. The distinct sites, in fractional coordinates, are Sm at (0.000, 0.000, 0.000), Sm at (0.172, 0.328, 0.149), Ga at (0.000, 0.000, 0.250) and Ga at (0.119, 0.381, 0.500).



(12)
First-principles (PBE) data for a relaxed structure of Sm3Ga2, as listed in the Open Quantum Materials Database.

The calculation puts the mass density at 7.5 g/cm³. The size of the total moment comes out at 0.009 μB/f.u. As for the total DFT energy (no corrections): -0.1660 Ha/atom.

The structure belongs to space group C2/c (No. 15); the cell edges are 8.076, 8.428 and 8.219 Å and the angles 90.00°, 109.97° and 90.00°. The distinct sites, in fractional coordinates, are Sm at (0.000, 0.204, 0.250), Sm at (0.219, 0.446, 0.987) and Ga at (0.100, 0.217, 0.652).



(13)
First-principles (PBE) data for a relaxed structure of Sm3Ga2, as listed in the Open Quantum Materials Database.

The calculation puts the mass density at 7.3 g/cm³. The size of the total moment comes out at 0.000 μB/f.u. As for the total DFT energy (no corrections): -0.1670 Ha/atom.

The structure belongs to space group I4/mcm (No. 140); the cell edges are 11.848, 11.848 and 15.242 Å and the angles 90.00°, 90.00° and 90.00°. The distinct sites, in fractional coordinates, are Sm at (0.000, 0.500, 0.148), Sm at (0.067, 0.201, 0.134), Sm at (0.168, 0.332, 0.500), Ga at (0.000, 0.000, 0.000), Ga at (0.000, 0.000, 0.250), Ga at (0.116, 0.384, 0.000) and Ga at (0.179, 0.321, 0.297).



(14)
First-principles (PBE) data for a relaxed structure of Sm5Ga3, as listed in the Open Quantum Materials Database.

The calculation puts the mass density at 7.3 g/cm³. The size of the total moment comes out at 0.004 μB/f.u. The value obtained for the energy above the lowest structure with this stoichiometry is 0.0 meV per atom.

The structure belongs to space group P4/ncc (No. 130, origin choice 2); the cell edges are 7.764, 7.764 and 14.500 Å and the angles 90.00°, 90.00° and 90.00°. The distinct sites, in fractional coordinates, are Sm at (0.065, 0.593, 0.103), Sm at (0.250, 0.250, 0.222), Ga at (0.130, 0.630, 0.750) and Ga at (0.250, 0.250, 0.007).



(15)
First-principles (PBE) data for a relaxed structure of SmGa5, as listed in the Open Quantum Materials Database.

The calculation puts the mass density at 6.9 g/cm³. The size of the total moment comes out at 0.000 μB/f.u. As for the total DFT energy (no corrections): -0.1293 Ha/atom.

The structure belongs to space group P6/mmm (No. 191); the cell edges are 5.6050, 5.6050 and 4.4139 Å and the angles 90.00°, 90.00° and 120.00°. The distinct sites, in fractional coordinates, are Sm at (0.0000, 0.0000, 0.0000), Ga at (0.0000, 0.5000, 0.5000) and Ga at (0.3333, 0.6667, 0.0000).



(16)
First-principles (PBE) data for a relaxed structure of SmGa2, as listed in the Open Quantum Materials Database.

The calculation puts the mass density at 7.3 g/cm³. The size of the total moment comes out at 0.002 μB/f.u. As for the total DFT energy (no corrections): -0.1571 Ha/atom.

The structure belongs to space group P6/mmm (No. 191); the cell edges are 4.2494, 4.2494 and 4.1949 Å and the angles 90.00°, 90.00° and 120.00°. The distinct sites, in fractional coordinates, are Sm at (0.0000, 0.0000, 0.0000) and Ga at (0.3333, 0.6667, 0.5000).



(17)
First-principles (PBE) data for a relaxed structure of Sm5Ga2Sn, as listed in the Open Quantum Materials Database.

The calculation puts the mass density at 7.4 g/cm³. The size of the total moment comes out at 0.046 μB/f.u. As for the total DFT energy (no corrections): -0.1749 Ha/atom.

The structure belongs to space group I4/mcm (No. 140); the cell edges are 8.022, 8.022 and 14.087 Å and the angles 90.00°, 90.00° and 90.00°. The distinct sites, in fractional coordinates, are Sm at (0.000, 0.000, 0.000), Sm at (0.167, 0.333, 0.145), Ga at (0.125, 0.375, 0.500) and Sn at (0.000, 0.000, 0.250).



(18)
First-principles (PBE) data for a relaxed structure of Sm2GaSn, as listed in the Open Quantum Materials Database.

The calculation puts the mass density at 7.4 g/cm³. The size of the total moment comes out at 0.148 μB/f.u. As for the total DFT energy (no corrections): -0.1775 Ha/atom.

The structure belongs to space group Amm2 (No. 38); the cell edges are 4.233, 4.546 and 11.400 Å and the angles 90.00°, 90.00° and 90.00°. The distinct sites, in fractional coordinates, are Sm at (0.000, 0.000, 0.000), Sm at (0.500, 0.000, 0.282), Ga at (0.000, 0.000, 0.728) and Sn at (0.500, 0.000, 0.567).



(19)
First-principles (PBE) data for a relaxed structure of Sm4Ga3Sn, as listed in the Open Quantum Materials Database.

The calculation puts the mass density at 6.9 g/cm³. The size of the total moment comes out at 0.243 μB/f.u. As for the total DFT energy (no corrections): -0.1565 Ha/atom.

The structure belongs to space group I-42m (No. 121); the cell edges are 8.113, 8.113 and 6.793 Å and the angles 90.00°, 90.00° and 90.00°. The distinct sites, in fractional coordinates, are Sm at (0.242, 0.242, 0.363), Ga at (0.000, 0.000, 0.500), Ga at (0.000, 0.500, 0.250) and Sn at (0.000, 0.000, 0.000).



(20)
First-principles (PBE) data for a relaxed structure of Sm2GaSn, as listed in the Open Quantum Materials Database.

The calculation puts the mass density at 7.4 g/cm³. The size of the total moment comes out at 0.030 μB/f.u. As for the total DFT energy (no corrections): -0.1776 Ha/atom.

The structure belongs to space group P2_1/m (No. 11); the cell edges are 6.143, 4.223 and 8.893 Å and the angles 90.00°, 107.95° and 90.00°. The distinct sites, in fractional coordinates, are Sm at (0.200, 0.250, 0.425), Sm at (0.282, 0.750, 0.064), Ga at (0.126, 0.250, 0.792) and Sn at (0.370, 0.750, 0.711).